! CdMoOs2, optimized geometry, DFT PBE; values from VASP
&SYSTEM
  ibrav = 0, nat = 4, ntyp = 3
/
ATOMIC_SPECIES
Cd 112.41 Cd.upf
Mo 95.94 Mo.upf
Os 190.23 Os.upf
CELL_PARAMETERS angstrom
-0.345 0.200 5.009
0.672 -4.433 2.270
2.526 2.608 -3.474
ATOMIC_POSITIONS crystal
Cd 0.500 0.500 0.000
Mo 0.750 0.250 0.500
Os 0.000 0.000 0.000
Os 0.250 0.750 0.500
! **Symmetry**: No. 119
! **Energy of formation from the pure elements**: 581.0 meV per atom